[1]
CsB6H6 | GGA-PBEsol | relaxed

The structure in CIF format:
```
data_CsB6H6
_chemical_formula_sum 'Cs8 B48 H48'
_symmetry_space_group_name_H-M 'F m -3'
_symmetry_Int_Tables_number 202
_symmetry_space_group_name_Hall '-F 2 2 3'
_cell_length_a 11.0033
_cell_length_b 11.0033
_cell_length_c 11.0033
_cell_angle_alpha 90.00
_cell_angle_beta 90.00
_cell_angle_gamma 90.00
loop_
_atom_site_label
_atom_site_type_symbol
_atom_site_fract_x
_atom_site_fract_y
_atom_site_fract_z
_atom_site_occupancy
Cs1 Cs 0.2500 0.2500 0.2500 1
B1 B 0.0000 0.1302 0.0804 1
H1 H 0.0000 0.2243 0.1376 1
```

Values from the calculation:
N(E_F): 0.0 states/eV/cell
Calculated total energy: -5.2117 eV/atom

---

[2]
CsB2H5O6 | GGA-PBEsol | relaxed

The structure in CIF format:
```
data_CsB2H5O6
_chemical_formula_sum 'Cs8 B16 H40 O48'
_symmetry_space_group_name_H-M 'P 1 21/c 1'
_symmetry_Int_Tables_number 14
_cell_length_a 8.3119
_cell_length_b 11.2719
_cell_length_c 12.8601
_cell_angle_alpha 90.00
_cell_angle_beta 91.01
_cell_angle_gamma 90.00
loop_
_symmetry_equiv_pos_as_xyz
'x,y,z'
'-x,-y,-z'
'-x,y+1/2,-z+1/2'
'x,-y+1/2,z+1/2'
loop_
_atom_site_label
_atom_site_type_symbol
_atom_site_fract_x
_atom_site_fract_y
_atom_site_fract_z
_atom_site_occupancy
Cs1 Cs 0.0486 0.0727 0.1415 1
Cs2 Cs 0.2260 0.5526 0.0181 1
B1 B 0.3549 0.7378 0.7358 1
B2 B 0.3744 0.6265 0.5714 1
B3 B 0.3929 0.1351 0.8009 1
B4 B 0.3964 0.1474 0.3025 1
H1 H 0.0630 0.6594 0.8213 1
H2 H 0.0713 0.7029 0.6070 1
H3 H 0.1138 0.0976 0.7018 1
H4 H 0.1211 0.2209 0.8807 1
H5 H 0.2649 0.6961 0.3694 1
H6 H 0.3348 0.5283 0.2498 1
H7 H 0.3692 0.5197 0.4474 1
H8 H 0.3827 0.5315 0.7923 1
H9 H 0.3996 0.2434 0.5030 1
H10 H 0.4662 0.1731 0.6042 1
O1 O 0.0196 0.1036 0.6525 1
O2 O 0.0354 0.1938 0.9279 1
O3 O 0.2267 0.7436 0.3091 1
O4 O 0.2778 0.0476 0.7669 1
O5 O 0.2814 0.6938 0.6364 1
O6 O 0.3038 0.5855 0.4800 1
O7 O 0.3099 0.2494 0.8149 1
O8 O 0.3142 0.0423 0.3054 1
O9 O 0.4407 0.6485 0.2175 1
O10 O 0.4471 0.1686 0.5267 1
O11 O 0.4687 0.0966 0.9039 1
O12 O 0.4745 0.6500 0.7734 1
```

Values from the calculation:
N(E_F): 0.0 states/eV/cell
Calculated total energy: -6.2017 eV/atom